No. 1
Material: Rb2HgIrN
Method: DFT, PBE-GGA
State: optimized geometry

Cell and atoms, written as POSCAR:
```
Rb2HgIrN
1.0
6.323 0.000 0.000
0.000 6.323 0.000
0.000 0.000 3.727
Rb Hg Ir N
2 1 1 1
Direct
0.000 0.500 0.000
0.500 0.000 0.000
0.000 0.000 0.500
0.500 0.500 0.500
0.500 0.500 0.000
```

Values from the calculation:
As for the formation energy without anion corrections: -66 meV per atom. The density of states at the Fermi level comes out at 1.8 states/eV/cell. The value obtained for the total magnetic moment is 0.0 μB/f.u.



No. 2
Material: HgIrSN2
Method: DFT, PBE-GGA
State: optimized geometry

Cell and atoms, written as POSCAR:
```
HgIrSN2
1.0
3.798 0.000 0.000
0.000 3.798 0.000
0.000 0.000 5.547
Hg Ir S N
1 1 1 2
Direct
0.000 0.000 0.000
0.500 0.500 0.500
0.500 0.500 0.000
0.000 0.500 0.500
0.500 0.000 0.500
```

Values from the calculation:
As for the formation energy without anion corrections: 795 meV per atom. The density of states at the Fermi level comes out at 2.0 states/eV/cell. The value obtained for the total magnetic moment is 0.0 μB/f.u. The distance to the lowest polymorph of the same formula comes out at 0.0 meV per atom.



No. 3
Material: HgIrS2N
Method: DFT, PBE-GGA
State: optimized geometry

Cell and atoms, written as POSCAR:
```
HgIrS2N
1.0
4.959 0.000 0.000
0.000 4.959 0.000
0.000 0.000 3.671
Hg Ir S N
1 1 2 1
Direct
0.000 0.000 0.000
0.500 0.500 0.500
0.000 0.500 0.500
0.500 0.000 0.500
0.500 0.500 0.000
```

Values from the calculation:
As for the formation energy without anion corrections: 480 meV per atom. The density of states at the Fermi level comes out at 2.8 states/eV/cell. The value obtained for the total magnetic moment is 0.0 μB/f.u. The distance to the lowest polymorph of the same formula comes out at 0.0 meV per atom.



What is the total magnetic moment in the third record?
0.0 μB/f.u.



formation energy without anion corrections of number 2 (HgIrSN2)?
795 meV per atom



formation energy without anion corrections of number 1 (Rb2HgIrN)?
-66 meV per atom



What is the total magnetic moment in the first record?
0.0 μB/f.u.